(1)
VASP calculation (PBE) on a relaxed YInIO6 crystal.

The energy relative to the elements, uncorrected is -1397 meV/atom.

The space group is P-31c (No. 163) and the conventional cell measures 5.5931, 5.5931 and 9.1448 Å, with angles of 90.00, 90.00 and 120.00 degrees. The asymmetric unit holds Y at (0.3333, 0.6667, 0.2500), In at (0.0000, 0.0000, 0.0000), I at (0.3333, 0.6667, 0.7500) and O at (0.0369, 0.3613, 0.6292).



(2)
VASP calculation (PBE) on a relaxed Ac3Ge3Ru2 crystal.

The calculation puts the energy relative to the elements at -0.55 eV/atom.

The space group is Cmcm (No. 63) and the conventional cell measures 4.272, 11.952 and 15.584 Å, with angles of 90.00, 90.00 and 90.00 degrees. The asymmetric unit holds Ac at (0.000, 0.068, 0.105), Ac at (0.000, 0.345, 0.250), Ge at (0.000, 0.338, 0.036), Ge at (0.000, 0.356, 0.750) and Ru at (0.000, 0.224, 0.609).



| no. | DFT total energy (eV per atom) |
| --- | --- |
| 1 | -5.897 |
| 2 | -6.138 |